Version a
Computed, not measured: BaCrTe3 after structural relaxation at the PBE level of DFT.

Summary:
* D(E_F): 4.1 states/eV/cell

a = 6.5286 Å, b = 6.7070 Å, c = 14.3543 Å
α = 90.00°, β = 90.00°, γ = 90.00°
Site moments in Bohr magnetons follow the coordinates.
Sites, in units of the cell vectors:
Ba 0.2500 0.5158 0.3077  0.00
Ba 0.7500 0.4842 0.6923  0.00
Ba 0.7500 0.9842 0.3077  0.00
Ba 0.2500 0.0158 0.6923  0.00
Te 0.2500 0.5876 0.0640  -0.19
Te 0.7500 0.4124 0.9360  -0.19
Te 0.7500 0.9124 0.0640  -0.19
Te 0.5000 0.7500 0.5015  0.00
Te 0.0000 0.7500 0.5015  0.00
Te 0.0000 0.2500 0.4985  0.00
Te 0.2500 0.5538 0.7908  -0.06
Te 0.5000 0.2500 0.4985  0.00
Te 0.7500 0.4462 0.2092  -0.06
Te 0.7500 0.9462 0.7908  -0.06
Te 0.2500 0.0876 0.9360  -0.19
Te 0.2500 0.0538 0.2092  -0.06
Cr 0.0000 0.7500 0.9284  3.26
Cr 0.0000 0.2500 0.0716  3.26
Cr 0.5000 0.2500 0.0716  3.26
Cr 0.5000 0.7500 0.9284  3.26

***

Version b
Computed, not measured: BaCrTe3 after structural relaxation at the PBE level of DFT.

Summary:
* D(E_F): 3.8 states/eV/cell

a = 6.4336 Å, b = 6.4336 Å, c = 6.4336 Å
α = 90.00°, β = 90.00°, γ = 90.00°
Site moments in Bohr magnetons follow the coordinates.
Sites, in units of the cell vectors:
Te 0.0000 0.5000 0.0000  -0.57
Te 0.5000 0.0000 0.0000  -0.42
Te 0.0000 0.0000 0.5000  -0.59
Ba 0.0000 0.0000 0.0000  -0.02
Cr 0.5000 0.5000 0.5000  4.39

***

Version c
Computed, not measured: BaCrTe3 after structural relaxation at the PBE level of DFT.

Summary:
* D(E_F): 4.1 states/eV/cell

a = 5.3962 Å, b = 5.3962 Å, c = 5.3962 Å
α = 90.00°, β = 90.00°, γ = 90.00°
Site moments in Bohr magnetons follow the coordinates.
Sites, in units of the cell vectors:
Te 0.0000 0.5000 0.0000  -0.12
Te 0.5000 0.0000 0.0000  -0.13
Te 0.0000 0.0000 0.5000  -0.11
Ba 0.5000 0.5000 0.5000  0.02
Cr 0.0000 0.0000 0.0000  3.08

***

It is version a that is the most stable of them.

***

Version a
Computed, not measured: BaTlCr2Te after structural relaxation at the PBE level of DFT.

Summary:
* D(E_F): 4.6 states/eV/cell

a = 5.2329 Å, b = 6.6020 Å, c = 5.2329 Å
α = 90.00°, β = 90.00°, γ = 90.00°
Site moments in Bohr magnetons follow the coordinates.
Sites, in units of the cell vectors:
Cr 0.0000 0.0000 0.5000  4.03
Cr 0.5000 0.0000 0.0000  3.67
Te 0.5000 0.5000 0.5000  -0.09
Ba 0.0000 0.5000 0.0000  -0.04
Tl 0.0000 0.0000 0.0000  -0.11

***

Version b
Computed, not measured: BaTlCr2Te after structural relaxation at the PBE level of DFT.

Summary:
* D(E_F): 11.0 states/eV/cell

a = 4.9682 Å, b = 6.4222 Å, c = 4.9682 Å
α = 90.00°, β = 90.00°, γ = 90.00°
Site moments in Bohr magnetons follow the coordinates.
Sites, in units of the cell vectors:
Te 0.0000 0.0000 0.0000  0.01
Ba 0.0000 0.5000 0.0000  0.03
Cr 0.0000 0.0000 0.5000  -0.08
Cr 0.5000 0.0000 0.0000  -0.10
Tl 0.5000 0.5000 0.5000  0.00

***

It is version a that is the most stable of them.

***

Version a
Computed, not measured: BaTi2Cr after structural relaxation at the PBE level of DFT.

Summary:
* D(E_F): 11.5 states/eV/cell

a = 4.8077 Å, b = 4.8077 Å, c = 4.8077 Å
α = 60.00°, β = 60.00°, γ = 60.00°
Sites, in units of the cell vectors:
Ba 0.5000 0.5000 0.5000
Ti 0.2500 0.2500 0.2500
Ti 0.7500 0.7500 0.7500
Cr 0.0000 0.0000 0.0000

***

Version b
Computed, not measured: BaTi2Cr after structural relaxation at the PBE level of DFT.

Summary:
* D(E_F): 11.1 states/eV/cell

a = 6.9789 Å, b = 6.9789 Å, c = 6.9757 Å
α = 59.98°, β = 59.98°, γ = 90.00°
Site moments in Bohr magnetons follow the coordinates.
Sites, in units of the cell vectors:
Ba 0.0000 0.0000 0.0000  0.07
Ba 0.7500 0.2500 0.5000  0.07
Ti 0.3750 0.1250 0.2500  0.58
Ti 0.8750 0.6250 0.7500  0.49
Ti 0.3750 0.6250 0.7500  0.53
Ti 0.3750 0.6250 0.2500  0.55
Cr 0.5000 0.5000 0.0000  -0.20
Cr 0.2500 0.7500 0.5000  -0.20

***

It is version b that is the most stable of them.

***

Version a
Computed, not measured: BaTl2Cr2 after structural relaxation at the PBE level of DFT.

Summary:
* D(E_F): 6.5 states/eV/cell

a = 8.6604 Å, b = 8.6604 Å, c = 3.3101 Å
α = 90.00°, β = 90.00°, γ = 90.00°
Site moments in Bohr magnetons follow the coordinates.
Sites, in units of the cell vectors:
Tl 0.3162 0.1838 0.5000  -0.01
Tl 0.8162 0.3162 0.5000  -0.01
Tl 0.6838 0.8162 0.5000  -0.01
Tl 0.1838 0.6838 0.5000  -0.01
Cr 0.9250 0.5750 0.0000  0.22
Cr 0.0750 0.4250 0.0000  0.22
Cr 0.4250 0.9250 0.0000  0.21
Cr 0.5750 0.0750 0.0000  0.21
Ba 0.5000 0.5000 0.0000  -0.01
Ba 0.0000 0.0000 0.0000  -0.01

***

Version b
Computed, not measured: BaTl2Cr2 after structural relaxation at the PBE level of DFT.

Summary:
* D(E_F): 3.9 states/eV/cell

a = 5.0036 Å, b = 5.0036 Å, c = 6.1840 Å
α = 66.14°, β = 66.14°, γ = 90.00°
Sites, in units of the cell vectors:
Tl 0.7500 0.2500 0.5000
Tl 0.2500 0.7500 0.5000
Cr 0.4125 0.4125 0.1751
Cr 0.5875 0.5875 0.8249
Ba 0.0000 0.0000 0.0000

***

It is version b that is the most stable of them.

***

Version a
Computed, not measured: Ba2TlCr after structural relaxation at the PBE level of DFT.

Summary:
* D(E_F): 2.5 states/eV/cell

a = 4.0268 Å, b = 4.0268 Å, c = 9.6562 Å
α = 90.00°, β = 90.00°, γ = 90.00°
Site moments in Bohr magnetons follow the coordinates.
Sites, in units of the cell vectors:
Cr 0.0000 0.0000 0.5640  3.92
Tl 0.5000 0.5000 0.6873  -0.05
Ba 0.5000 0.5000 0.3223  0.03
Ba 0.0000 0.0000 0.9265  -0.01

***

Version b
Computed, not measured: Ba2TlCr after structural relaxation at the PBE level of DFT.

Summary:
* D(E_F): 0.7 states/eV/cell

a = 5.7267 Å, b = 5.7267 Å, c = 5.7267 Å
α = 119.89°, β = 119.89°, γ = 90.18°
Site moments in Bohr magnetons follow the coordinates.
Sites, in units of the cell vectors:
Tl 0.7500 0.2500 0.5000  -0.05
Ba 0.0000 0.0000 0.0000  0.00
Ba 0.2500 0.7500 0.5000  0.10
Cr 0.5000 0.5000 0.0000  4.03

***

Version c
Computed, not measured: Ba2TlCr after structural relaxation at the PBE level of DFT.

Summary:
* D(E_F): 34.1 states/eV/cell

a = 5.8172 Å, b = 5.8172 Å, c = 5.8172 Å
α = 60.00°, β = 60.00°, γ = 60.00°
Site moments in Bohr magnetons follow the coordinates.
Sites, in units of the cell vectors:
Tl 0.5000 0.5000 0.5000  -0.06
Cr 0.0000 0.0000 0.0000  0.42
Ba 0.2500 0.2500 0.2500  -0.04
Ba 0.7500 0.7500 0.7500  -0.04

***

It is version b that is the most stable of them.

***

Version a
Computed, not measured: Ba2TlCr after structural relaxation at the PBE level of DFT.

Summary:
* D(E_F): 2.8 states/eV/cell

a = 10.6096 Å, b = 10.6096 Å, c = 10.6096 Å
α = 23.66°, β = 23.66°, γ = 23.66°
Site moments in Bohr magnetons follow the coordinates.
Sites, in units of the cell vectors:
Ba 0.9979 0.9979 0.9979  0.02
Ba 0.5021 0.5021 0.5021  0.02
Cr 0.2500 0.2500 0.2500  4.10
Tl 0.7500 0.7500 0.7500  -0.01

***

Version b
Computed, not measured: Ba2TlCr after structural relaxation at the PBE level of DFT.

Summary:
* D(E_F): 2.8 states/eV/cell

a = 5.9845 Å, b = 5.9852 Å, c = 4.2339 Å
α = 90.00°, β = 90.00°, γ = 90.00°
Site moments in Bohr magnetons follow the coordinates.
Sites, in units of the cell vectors:
Ba 0.5000 0.5000 0.0000  0.01
Ba 0.0000 0.0000 0.0000  0.01
Cr 0.5000 0.0000 0.5000  4.05
Tl 0.0000 0.5000 0.5000  -0.06

***

It is version b that is the most stable of them.

***

Version a
Computed, not measured: Ba2TlCr after structural relaxation at the PBE level of DFT.

Summary:
* D(E_F): 4.3 states/eV/cell

a = 5.0078 Å, b = 5.2454 Å, c = 6.7129 Å
α = 66.95°, β = 90.00°, γ = 90.00°
Site moments in Bohr magnetons follow the coordinates.
Sites, in units of the cell vectors:
Tl 0.5000 0.5677 0.7383  -0.08
Cr 0.0000 0.6802 0.5160  3.91
Ba 0.0000 0.9810 0.9128  0.01
Ba 0.5000 0.2710 0.3329  0.00

***

Version b
Computed, not measured: Ba2TlCr after structural relaxation at the PBE level of DFT.

Summary:
* D(E_F): 3.8 states/eV/cell

a = 6.9917 Å, b = 6.9917 Å, c = 5.8616 Å
α = 65.28°, β = 65.28°, γ = 35.06°
Site moments in Bohr magnetons follow the coordinates.
Sites, in units of the cell vectors:
Ba 0.9738 0.9738 0.0266  -0.02
Ba 0.7743 0.7743 0.7253  -0.03
Cr 0.5453 0.5453 0.4551  3.92
Tl 0.2066 0.2066 0.2930  -0.04

***

It is version a that is the most stable of them.

***

Version a
Computed, not measured: BaTlCr after structural relaxation at the PBE level of DFT.

Summary:
* D(E_F): 4.5 states/eV/cell

a = 5.5449 Å, b = 5.5449 Å, c = 5.5449 Å
α = 60.00°, β = 60.00°, γ = 60.00°
Site moments in Bohr magnetons follow the coordinates.
Sites, in units of the cell vectors:
Cr 0.0000 0.0000 0.0000  4.09
Tl 0.5000 0.5000 0.5000  -0.15
Ba 0.7500 0.7500 0.7500  -0.07

***

Version b
Computed, not measured: BaTlCr after structural relaxation at the PBE level of DFT.

Summary:
* D(E_F): 2.2 states/eV/cell

a = 5.2377 Å, b = 5.2377 Å, c = 5.2377 Å
α = 60.00°, β = 60.00°, γ = 60.00°
Site moments in Bohr magnetons follow the coordinates.
Sites, in units of the cell vectors:
Tl 0.0000 0.0000 0.0000  -0.14
Ba 0.5000 0.5000 0.5000  -0.02
Cr 0.7500 0.7500 0.7500  3.85

***

Version c
Computed, not measured: BaTlCr after structural relaxation at the PBE level of DFT.

Summary:
* D(E_F): 1.3 states/eV/cell

a = 6.7336 Å, b = 6.7336 Å, c = 3.9248 Å
α = 73.06°, β = 73.06°, γ = 33.89°
Site moments in Bohr magnetons follow the coordinates.
Sites, in units of the cell vectors:
Cr 0.7054 0.7054 0.2946  3.92
Ba 0.9987 0.9987 0.0013  0.04
Tl 0.2959 0.2959 0.7041  -0.03

***

Version d
Computed, not measured: BaTlCr after structural relaxation at the PBE level of DFT.

Summary:
* D(E_F): 3.4 states/eV/cell

a = 5.1251 Å, b = 5.1251 Å, c = 4.3534 Å
α = 90.00°, β = 90.00°, γ = 120.00°
Site moments in Bohr magnetons follow the coordinates.
Sites, in units of the cell vectors:
Ba 0.0000 0.0000 0.9999  -0.01
Cr 0.6667 0.3333 0.5003  3.89
Tl 0.3333 0.6667 0.4998  -0.10

***

It is version d that is the most stable of them.